This record from Alexandria via LeMat-Bulk describes Tm6NiPd3 after structural relaxation. The functional is PBE.

a = 6.680 Å, b = 7.389 Å, c = 11.933 Å
α = 90.00°, β = 123.92°, γ = 90.00°
Space group P2_1/c (No. 14)
Unique sites:
Tm1 0.085 0.183 0.430
Tm2 0.264 0.670 0.431
Tm3 0.409 0.047 0.245
Ni1 0.000 0.000 0.000
Pd1 0.190 0.118 0.746
Pd2 0.500 0.000 0.500

Computed properties:
Formation energy from the elements   -0.599 eV/atom

***

This record from Alexandria via LeMat-Bulk describes CrCd2Ir after structural relaxation. The functional is PBE.

a = 6.527 Å, b = 6.527 Å, c = 6.527 Å
α = 90.00°, β = 90.00°, γ = 90.00°
Space group F-43m (No. 216)
Unique sites:
Cr1 0.000 0.000 0.000
Cd1 0.000 0.000 0.500
Cd2 0.250 0.250 0.250
Ir1 0.250 0.250 0.750

Computed properties:
Formation energy from the elements   0.298 eV/atom

***

This record from Alexandria via LeMat-Bulk describes Tb2LuMn after structural relaxation. The functional is PBE.

a = 3.539 Å, b = 3.539 Å, c = 8.497 Å
α = 90.00°, β = 90.00°, γ = 90.00°
Space group P4/mmm (No. 123)
Unique sites:
Tb1 0.000 0.000 0.207
Lu1 0.500 0.500 0.500
Mn1 0.500 0.500 0.000

Computed properties:
Formation energy from the elements   0.137 eV/atom

***

This record from Alexandria via LeMat-Bulk describes La2TlN after structural relaxation. The functional is PBE.

a = 7.397 Å, b = 7.397 Å, c = 7.397 Å
α = 90.00°, β = 90.00°, γ = 90.00°
Space group Fm-3m (No. 225)
Unique sites:
La1 0.250 0.250 0.250
Tl1 0.000 0.000 0.000
N1 0.000 0.000 0.500

Computed properties:
Energy relative to the elements, uncorrected   1.1 eV/f.u.

***

The evaluated magnetic moment for the records listed, in turn: 0.00, 3.65, 3.67, 0.01 μB per formula unit.